[1]
Computed, not measured: a relaxed structure of SbMo2P at the PBE-GGA level of DFT.

Lattice parameters (Å, degrees): 4.493 4.493 3.195 90.00 90.00 90.00
Fractional positions:
Sb1 0.000 0.000 0.500
Mo1 0.500 0.000 0.000
Mo2 0.000 0.500 0.000
P1 0.500 0.500 0.500

Values from the calculation:
- Calculated density: 8.87 g/cm³
- Density of states at the Fermi level: 4.52 states/eV/f.u.
- E_form (uncorrected): 0.13 eV per atom



[2]
Computed, not measured: a relaxed structure of Pr3NiAu2 at the PBE-GGA level of DFT.

Lattice parameters (Å, degrees): 4.550 11.032 12.396 90.00 90.00 90.00
Fractional positions:
Pr1 0.250 0.378 0.054
Pr2 0.750 0.622 0.946
Pr3 0.750 0.878 0.446
Pr4 0.250 0.122 0.554
Pr5 0.250 0.708 0.236
Pr6 0.750 0.292 0.764
Pr7 0.750 0.208 0.264
Pr8 0.250 0.792 0.736
Pr9 0.250 0.439 0.389
Pr10 0.750 0.561 0.611
Pr11 0.750 0.939 0.111
Pr12 0.250 0.061 0.889
Ni1 0.250 0.131 0.122
Ni2 0.750 0.869 0.878
Ni3 0.750 0.631 0.378
Ni4 0.250 0.369 0.622
Au1 0.250 0.697 0.494
Au2 0.750 0.303 0.506
Au3 0.750 0.197 0.006
Au4 0.250 0.803 0.994
Au5 0.250 0.001 0.303
Au6 0.750 0.999 0.697
Au7 0.750 0.501 0.197
Au8 0.250 0.499 0.803

Values from the calculation:
- Calculated density: 9.34 g/cm³
- Density of states at the Fermi level: 5.36 states/eV/f.u.
- Calculated formation energy: -0.58 eV per atom



[3]
Computed, not measured: a relaxed structure of LiNbIn2 at the PBE-GGA level of DFT.

Lattice parameters (Å, degrees): 4.842 4.842 4.842 60.00 60.00 60.00
Fractional positions:
Nb1 0.500 0.500 0.500
Li1 0.000 0.000 0.000
In1 0.250 0.250 0.250
In2 0.750 0.750 0.750

Values from the calculation:
- Calculated density: 6.82 g/cm³
- Density of states at the Fermi level: 2.48 states/eV/f.u.
- Calculated formation energy: 0.12 eV per atom



[4]
Computed, not measured: a relaxed structure of Be4P at the PBE-GGA level of DFT.

Lattice parameters (Å, degrees): 4.061 4.061 4.061 90.00 90.00 90.00
Fractional positions:
P1 0.500 0.500 0.500
Be1 0.000 0.000 0.000
Be2 0.500 0.000 0.500
Be3 0.000 0.500 0.500
Be4 0.500 0.500 0.000

Values from the calculation:
- Calculated density: 1.66 g/cm³
- Density of states at the Fermi level: 1.29 states/eV/f.u.
- Calculated formation energy: 0.93 eV per atom



[5]
Computed, not measured: a relaxed structure of Ag2Bi2Te3 at the PBE-GGA level of DFT.

Lattice parameters (Å, degrees): 7.314 9.702 6.839 90.00 57.96 90.00
Fractional positions:
Ag1 0.593 0.384 0.551
Ag2 0.907 0.884 0.449
Ag3 0.093 0.116 0.551
Ag4 0.407 0.616 0.449
Bi1 0.933 0.692 0.835
Bi2 0.433 0.808 0.835
Bi3 0.567 0.192 0.165
Bi4 0.067 0.308 0.165
Te1 0.500 0.500 0.000
Te2 0.000 0.000 0.000
Te3 0.638 0.118 0.695
Te4 0.862 0.618 0.305
Te5 0.138 0.382 0.695
Te6 0.362 0.882 0.305

Values from the calculation:
- Calculated density: 8.21 g/cm³
- Density of states at the Fermi level: 2.09 states/eV/f.u.
- E_form (uncorrected): -0.01 eV per atom



[6]
Computed, not measured: a relaxed structure of ZrNi2Ru at the PBE-GGA level of DFT.

Lattice parameters (Å, degrees): 4.693 4.693 4.693 131.61 131.56 70.89
Fractional positions:
Ni1 0.000 0.000 0.000
Ni2 0.500 0.500 0.000
Ru1 0.750 0.250 0.500
Zr1 0.250 0.750 0.500

Values from the calculation:
- Calculated density: 9.08 g/cm³
- Density of states at the Fermi level: 5.24 states/eV/f.u.
- Calculated formation energy: -0.27 eV per atom



[7]
Computed, not measured: a relaxed structure of K2La2PaSe6 at the PBE-GGA level of DFT.

Lattice parameters (Å, degrees): 7.538 7.538 8.192 98.98 98.98 119.47
Fractional positions:
K1 0.831 0.169 0.000
K2 0.169 0.831 0.000
La1 0.334 0.666 0.500
La2 0.666 0.334 0.500
Pa1 0.000 0.000 0.500
Se1 0.754 0.754 0.703
Se2 0.066 0.387 0.703
Se3 0.246 0.246 0.297
Se4 0.387 0.066 0.703
Se5 0.934 0.613 0.297
Se6 0.613 0.934 0.297

Values from the calculation:
- Calculated density: 4.57 g/cm³
- Density of states at the Fermi level: 0.92 states/eV/f.u.
- E_form (uncorrected): -1.70 eV per atom



[8]
Computed, not measured: a relaxed structure of TlCuF3 at the PBE-GGA level of DFT.

Lattice parameters (Å, degrees): 4.544 4.544 4.544 90.00 90.00 90.00
Fractional positions:
Tl1 0.000 0.000 0.000
Cu1 0.500 0.500 0.500
F1 0.000 0.500 0.000
F2 0.000 0.000 0.500
F3 0.500 0.000 0.000

Values from the calculation:
- Calculated density: 5.75 g/cm³
- Density of states at the Fermi level: 0.99 states/eV/f.u.
- E_form (uncorrected): -1.02 eV per atom



[9]
Computed, not measured: a relaxed structure of TbGd2Th at the PBE-GGA level of DFT.

Lattice parameters (Å, degrees): 3.470 3.470 12.649 82.12 82.12 60.00
Fractional positions:
Gd1 0.090 0.090 0.731
Gd2 0.910 0.910 0.269
Tb1 0.500 0.500 0.500
Th1 0.000 0.000 0.000

Values from the calculation:
- Calculated density: 8.99 g/cm³
- Density of states at the Fermi level: 5.39 states/eV/f.u.
- Calculated formation energy: 0.18 eV per atom



[10]
Computed, not measured: a relaxed structure of TcAsOs3 at the PBE-GGA level of DFT.

Lattice parameters (Å, degrees): 4.670 4.670 4.670 90.00 90.00 90.00
Fractional positions:
As1 0.500 0.500 0.500
Os1 0.000 0.500 0.000
Os2 0.000 0.000 0.500
Os3 0.500 0.000 0.000
Tc1 0.000 0.000 0.000

Values from the calculation:
- Calculated density: 12.13 g/cm³
- Density of states at the Fermi level: 7.49 states/eV/f.u.
- Calculated formation energy: 2.27 eV per atom



[11]
Computed, not measured: a relaxed structure of Cd4OF6 at the PBE-GGA level of DFT.

Lattice parameters (Å, degrees): 7.637 7.637 5.524 90.00 90.00 90.00
Fractional positions:
Cd1 0.500 0.249 0.197
Cd2 0.500 0.751 0.197
Cd3 0.251 0.000 0.697
Cd4 0.749 0.000 0.697
Cd5 0.249 0.500 0.803
Cd6 0.000 0.251 0.303
Cd7 0.000 0.749 0.303
Cd8 0.751 0.500 0.803
O1 0.500 0.500 0.000
O2 0.000 0.000 0.500
F1 0.500 0.000 0.922
F2 0.500 0.000 0.422
F3 0.000 0.500 0.578
F4 0.000 0.500 0.078
F5 0.787 0.787 0.000
F6 0.287 0.713 0.500
F7 0.287 0.287 0.500
F8 0.787 0.213 0.000
F9 0.213 0.787 0.000
F10 0.713 0.713 0.500
F11 0.213 0.213 0.000
F12 0.713 0.287 0.500

Values from the calculation:
- Calculated density: 5.97 g/cm³
- Density of states at the Fermi level: 0.00 states/eV/f.u.
- E_form (uncorrected): -2.01 eV per atom



[12]
Computed, not measured: a relaxed structure of Cu2OsSeBr at the PBE-GGA level of DFT.

Lattice parameters (Å, degrees): 4.939 4.534 4.939 90.00 90.00 90.00
Fractional positions:
Cu1 0.000 0.000 0.500
Cu2 0.500 0.000 0.000
Os1 0.000 0.000 0.000
Se1 0.500 0.500 0.500
Br1 0.000 0.500 0.000

Values from the calculation:
- Calculated density: 7.15 g/cm³
- Density of states at the Fermi level: 7.18 states/eV/f.u.
- E_form (uncorrected): 1.25 eV per atom